# 1
# SmSiIrN

A relaxed structure of SmSiIrN (PBE, the Alexandria database).

- Fermi-level density of states (states/eV/atom) = 0.34
- formation energy from raw total energies (eV per atom) = -1.20
- E (eV per atom) = -8.034

abc: 3.9886 3.9886 8.0824
angles: 90.00 90.00 90.00
Space group P4/nmm (No. 129, origin choice 2)
Symmetry-distinct sites (fractional):
Sm: 0.2500 0.2500 0.1616 x2
Si: 0.2500 0.2500 0.6592 x2
Ir: 0.2500 0.7500 0.5000 x2
N: 0.2500 0.2500 0.8742 x2

---

# 2
# Bi2O3

A relaxed structure of Bi2O3 (PBE, the Alexandria database).

- Fermi-level density of states (states/eV/atom) = 0.00
- formation energy from raw total energies (eV per atom) = -1.19
- E (eV per atom) = -5.720

abc: 14.7479 14.7479 18.0563
angles: 90.00 90.00 120.00
Space group R3 (No. 146, hexagonal axes)
Symmetry-distinct sites (fractional):
Bi: 0.0000 0.0000 0.9996 x3
Bi: 0.0000 0.0000 0.5151 x3
Bi: 0.0152 0.1672 0.1642 x9
Bi: 0.0185 0.1907 0.6596 x9
Bi: 0.0507 0.2704 0.4574 x9
Bi: 0.0590 0.4543 0.6192 x9
Bi: 0.0981 0.7063 0.2191 x9
Bi: 0.1065 0.7087 0.7163 x9
Bi: 0.1536 0.1464 0.3333 x9
Bi: 0.1557 0.1437 0.8245 x9
O: 0.0000 0.0000 0.1402 x3
O: 0.0000 0.0000 0.3136 x3
O: 0.0000 0.0000 0.7973 x3
O: 0.0047 0.6414 0.1234 x9
O: 0.0082 0.6342 0.6246 x9
O: 0.0434 0.3341 0.2034 x9
O: 0.0456 0.8410 0.2139 x9
O: 0.0493 0.8413 0.7043 x9
O: 0.0514 0.3415 0.6966 x9
O: 0.0840 0.5439 0.2233 x9
O: 0.0998 0.5501 0.7252 x9
O: 0.1463 0.0703 0.4591 x9
O: 0.1534 0.0682 0.9432 x9
O: 0.1674 0.4487 0.4502 x9
O: 0.1711 0.4538 0.9634 x9

---

# 3
# MgBC

A relaxed structure of MgBC (PBE, the Alexandria database).

- Fermi-level density of states (states/eV/atom) = 0.43
- E (eV per atom) = -4.852
- ΔE_f (meV per atom) = 980.4

abc: 3.4677 3.4677 5.9484
angles: 90.00 90.00 90.00
Space group I4mm (No. 107)
Symmetry-distinct sites (fractional):
Mg: 0.0000 0.0000 0.0000 x2
B: 0.0000 0.0000 0.6112 x2
C: 0.0000 0.0000 0.3758 x2

---

# 4
# Al4Ru

A relaxed structure of Al4Ru (PBE, the Alexandria database).

- Fermi-level density of states (states/eV/atom) = 0.43
- E (eV per atom) = -5.200
- ΔE_f (meV per atom) = -350.3

abc: 6.2663 6.2663 3.7540
angles: 90.00 90.00 90.00
Space group I4/m (No. 87)
Symmetry-distinct sites (fractional):
Al: 0.1048 0.2971 0.0000 x8
Ru: 0.0000 0.0000 0.5000 x2

---

# 5
# Cr2CoGeSb

A relaxed structure of Cr2CoGeSb (PBE, the Alexandria database).

- Fermi-level density of states (states/eV/atom) = 0.71
- formation energy from raw total energies (eV per atom) = 0.69
- E (eV per atom) = -6.327

abc: 4.7174 4.7174 4.3887
angles: 90.00 90.00 90.00
Space group P4/mmm (No. 123)
Symmetry-distinct sites (fractional):
Cr: 0.0000 0.5000 0.0000 x2
Co: 0.0000 0.0000 0.5000 x1
Ge: 0.0000 0.0000 0.0000 x1
Sb: 0.5000 0.5000 0.5000 x1

---

# 6
# TaTiPt2

A relaxed structure of TaTiPt2 (PBE, the Alexandria database).

- Fermi-level density of states (states/eV/atom) = 0.70
- E (eV per atom) = -8.738
- ΔE_f (meV per atom) = -781.1

abc: 5.6127 8.0644 2.8244
angles: 90.00 90.00 90.00
Space group Cmmm (No. 65)
Symmetry-distinct sites (fractional):
Ta: 0.0000 0.0000 0.0000 x2
Ti: 0.0000 0.5000 0.0000 x2
Pt: 0.2500 0.2500 0.5000 x4

---

# 7
# CdNiBr

A relaxed structure of CdNiBr (PBE, the Alexandria database).

- Fermi-level density of states (states/eV/atom) = 1.14
- formation energy from raw total energies (eV per atom) = 0.20
- E (eV per atom) = -2.590

abc: 3.2357 3.2357 11.7196
angles: 90.00 90.00 90.00
Space group I4mm (No. 107)
Symmetry-distinct sites (fractional):
Cd: 0.0000 0.0000 0.0000 x2
Ni: 0.0000 0.0000 0.6293 x2
Br: 0.0000 0.0000 0.2607 x2

---

# 8
# In2CuAs

A relaxed structure of In2CuAs (PBE, the Alexandria database).

- Fermi-level density of states (states/eV/atom) = 0.44
- E (eV per atom) = -3.333
- ΔE_f (meV per atom) = 222.4

abc: 4.1078 5.3017 7.9075
angles: 90.00 90.00 90.00
Space group Immm (No. 71)
Symmetry-distinct sites (fractional):
In: 0.0000 0.0000 0.2318 x4
Cu: 0.0000 0.5000 0.5000 x2
As: 0.0000 0.5000 0.0000 x2

---

# 9
# Pm6Mg5Zn

A relaxed structure of Pm6Mg5Zn (PBE, the Alexandria database).

- Fermi-level density of states (states/eV/atom) = 1.13
- E (eV per atom) = -3.280
- ΔE_f (meV per atom) = -134.1

abc: 5.3980 16.2213 7.6903
angles: 90.00 90.00 90.00
Space group Cmmm (No. 65)
Symmetry-distinct sites (fractional):
Pm: 0.0000 0.0000 0.2391 x4
Pm: 0.0000 0.3380 0.2445 x8
Mg: 0.0000 0.1680 0.5000 x4
Mg: 0.0000 0.1720 0.0000 x4
Mg: 0.0000 0.5000 0.5000 x2
Zn: 0.0000 0.5000 0.0000 x2

---

# 10
# Mg2CdTc

A relaxed structure of Mg2CdTc (PBE, the Alexandria database).

- Fermi-level density of states (states/eV/atom) = 0.68
- E (eV per atom) = -3.414
- ΔE_f (meV per atom) = 203.7

abc: 2.9731 2.9731 29.6320
angles: 90.00 90.00 120.00
Space group R-3m (No. 166, hexagonal axes)
Symmetry-distinct sites (fractional):
Mg: 0.0000 0.0000 0.2406 x6
Cd: 0.0000 0.0000 0.0000 x3
Tc: 0.0000 0.0000 0.5000 x3

---

# 11
# AcZn2CdPd2

A relaxed structure of AcZn2CdPd2 (PBE, the Alexandria database).

- Fermi-level density of states (states/eV/atom) = 0.28
- E (eV per atom) = -3.529
- ΔE_f (meV per atom) = -535.7

abc: 4.5114 4.5114 7.1206
angles: 90.00 90.00 120.00
Space group P-3m1 (No. 164)
Symmetry-distinct sites (fractional):
Ac: 0.0000 0.0000 0.0000 x1
Zn: 0.3333 0.6667 0.3170 x2
Cd: 0.0000 0.0000 0.5000 x1
Pd: 0.3333 0.6667 0.7044 x2